Density functional theory data (PBE) for an optimized crystal structure of CuSiPd2.

a b c (Å): 3.5607 3.9275 3.9275
angles (deg): 90.00 90.00 90.00
Closest atoms and distances in Å follow each position.
Positions (direct):
Si1 0.5000 0.0000 0.0000  8 Pd 2.65, 4 Cu 2.78
Cu1 0.5000 0.5000 0.5000  8 Pd 2.65, 4 Si 2.78
Pd1 0.0000 0.0000 0.5000  4 Cu 2.65, 4 Si 2.65, 4 Pd 2.78
Pd2 0.0000 0.5000 0.0000  4 Cu 2.65, 4 Si 2.65, 4 Pd 2.78

Computed properties:
Calculated volume (Å³ per cell): 55
SG: No. 123
DOS at the Fermi energy (states/eV per cell): 2.935
Formation energy from raw total energies (meV/atom): -342
Electronic total energy (hartree per atom): -0.1954